Entry 1:
Computed, not measured: a relaxed ScAl2Co crystal at the PBE-GGA level of DFT.

The space group is Amm2 (No. 38) and the conventional cell measures 4.0916, 3.0472 and 10.2702 Å, with angles of 90.00, 90.00 and 90.00 degrees. The asymmetric unit holds Sc at (0.0000, 0.0000, 0.0000), Al at (0.0000, 0.0000, 0.2701), Al at (0.5000, 0.0000, 0.6723) and Co at (0.5000, 0.0000, 0.3963).

For the formation energy, the calculation gives -0.270 eV per atom. For the total energy, the calculation gives -5.50 eV per atom. For the calculated density, the calculation gives 4.09 Mg/m³.

Entry 2:
Computed, not measured: a relaxed RbMg2Sb2 crystal at the PBE-GGA level of DFT.

The space group is I4/mmm (No. 139) and the conventional cell measures 4.8889, 4.8889 and 13.3507 Å, with angles of 90.00, 90.00 and 90.00 degrees. The asymmetric unit holds Rb at (0.0000, 0.0000, 0.0000), Mg at (0.0000, 0.5000, 0.2500) and Sb at (0.0000, 0.0000, 0.3706).

Its raw formation energy is -0.44 eV/atom. For the total energy, the calculation gives -2.92 eV per atom. For the calculated density, the calculation gives 3.93 Mg/m³. Its energy above the most stable polymorph in this dataset is 0 meV/atom.

Entry 3:
Computed, not measured: a relaxed ScMoRh2 crystal at the PBE-GGA level of DFT.

The space group is Pm (No. 6) and the conventional cell measures 2.8941, 4.5438 and 4.9116 Å, with angles of 90.00, 98.43 and 90.00 degrees. The asymmetric unit holds Sc at (0.0000, 0.0000, 0.0000), Mo at (0.8021, 0.5000, 0.3971), Rh at (0.3780, 0.0000, 0.5196) and Rh at (0.4597, 0.5000, 0.8884).

For the formation energy, the calculation gives -0.421 eV per atom. For the total energy, the calculation gives -8.39 eV per atom. For the calculated density, the calculation gives 9.01 Mg/m³.

Entry 4:
Computed, not measured: a relaxed TlCo2Ru crystal at the PBE-GGA level of DFT.

The space group is C2/m (No. 12) and the conventional cell measures 8.7258, 2.9346 and 4.8494 Å, with angles of 90.00, 101.57 and 90.00 degrees. The asymmetric unit holds Tl at (0.0000, 0.0000, 0.0000), Co at (0.2384, 0.0000, 0.6935) and Ru at (0.0000, 0.5000, 0.5000).

For the formation energy, the calculation gives 0.526 eV per atom. For the total energy, the calculation gives -5.94 eV per atom. For the calculated density, the calculation gives 11.56 Mg/m³. Its energy above the most stable polymorph in this dataset is 59 meV/atom.

Entry 5:
Computed, not measured: a relaxed YTlIO6 crystal at the PBE-GGA level of DFT.

The space group is P-31c (No. 163) and the conventional cell measures 5.7166, 5.7166 and 9.9183 Å, with angles of 90.00, 90.00 and 120.00 degrees. The asymmetric unit holds Y at (0.3333, 0.6667, 0.2500), Tl at (0.0000, 0.0000, 0.0000), I at (0.3333, 0.6667, 0.7500) and O at (0.0478, 0.3967, 0.6418).

Its raw formation energy is -1.23 eV/atom. For the total energy, the calculation gives -5.69 eV per atom. For the calculated density, the calculation gives 6.11 Mg/m³.

Entry 6:
Computed, not measured: a relaxed Y2Sc2Se3 crystal at the PBE-GGA level of DFT.

The space group is C2/m (No. 12) and the conventional cell measures 13.3618, 3.8170 and 9.4483 Å, with angles of 90.00, 132.46 and 90.00 degrees. The asymmetric unit holds Y at (0.0693, 0.0000, 0.3543), Sc at (0.2481, 0.5000, 0.8542), Se at (0.0000, 0.5000, 0.5000) and Se at (0.1684, 0.5000, 0.2498).

Its raw formation energy is -1.33 eV/atom. For the total energy, the calculation gives -6.48 eV per atom. For the calculated density, the calculation gives 4.71 Mg/m³.

Entry 7:
Computed, not measured: a relaxed BaAlPt3 crystal at the PBE-GGA level of DFT.

The space group is Pm-3m (No. 221) and the conventional cell measures 5.3856, 5.3856 and 5.3856 Å, with angles of 90.00, 90.00 and 90.00 degrees. The asymmetric unit holds Ba at (0.0000, 0.0000, 0.0000), Al at (0.5000, 0.5000, 0.5000) and Pt at (0.0000, 0.0000, 0.5000).

For the formation energy, the calculation gives 1.574 eV per atom. For the total energy, the calculation gives -3.18 eV per atom. For the calculated density, the calculation gives 7.97 Mg/m³. Its energy above the most stable polymorph in this dataset is 1999 meV/atom.

Entry 8:
Computed, not measured: a relaxed TbEuGd2 crystal at the PBE-GGA level of DFT.

The space group is Fm-3m (No. 225) and the conventional cell measures 8.1586, 8.1586 and 8.1586 Å, with angles of 90.00, 90.00 and 90.00 degrees. The asymmetric unit holds Tb at (0.0000, 0.0000, 0.0000), Eu at (0.0000, 0.0000, 0.5000) and Gd at (0.2500, 0.2500, 0.2500).

For the formation energy, the calculation gives 0.138 eV per atom. For the total energy, the calculation gives -10.63 eV per atom. For the calculated density, the calculation gives 7.65 Mg/m³. Its energy above the most stable polymorph in this dataset is 97 meV/atom.

Entry 9:
Computed, not measured: a relaxed Cd2AgPt7 crystal at the PBE-GGA level of DFT.

The space group is Cmmm (No. 65) and the conventional cell measures 7.0395, 15.3564 and 3.9404 Å, with angles of 90.00, 90.00 and 90.00 degrees. The asymmetric unit holds Cd at (0.0000, 0.2033, 0.0000), Ag at (0.0000, 0.5000, 0.5000), Pt at (0.0000, 0.0000, 0.0000), Pt at (0.0000, 0.3277, 0.5000) and Pt at (0.1950, 0.4042, 0.0000).

For the formation energy, the calculation gives 0.361 eV per atom. For the total energy, the calculation gives -4.34 eV per atom. For the calculated density, the calculation gives 13.24 Mg/m³.

Entry 10:
Computed, not measured: a relaxed FeTeRh4 crystal at the PBE-GGA level of DFT.

The space group is F-43m (No. 216) and the conventional cell measures 7.3331, 7.3331 and 7.3331 Å, with angles of 90.00, 90.00 and 90.00 degrees. The asymmetric unit holds Fe at (0.0000, 0.0000, 0.0000), Te at (0.2500, 0.2500, 0.2500) and Rh at (0.1256, 0.1256, 0.6256).

Its raw formation energy is 0.36 eV/atom. For the total energy, the calculation gives -6.47 eV per atom. For the calculated density, the calculation gives 10.02 Mg/m³.

Entry 11:
Computed, not measured: a relaxed CaLa2Co2 crystal at the PBE-GGA level of DFT.

The space group is Cmmm (No. 65) and the conventional cell measures 3.9675, 17.0695 and 3.9617 Å, with angles of 90.00, 90.00 and 90.00 degrees. The asymmetric unit holds Ca at (0.0000, 0.0000, 0.0000), La at (0.0000, 0.3430, 0.5000) and Co at (0.0000, 0.2114, 0.0000).

For the formation energy, the calculation gives -0.053 eV per atom. For the total energy, the calculation gives -5.27 eV per atom. For the calculated density, the calculation gives 5.39 Mg/m³. Its energy above the most stable polymorph in this dataset is 0 meV/atom.

Entry 12:
Computed, not measured: a relaxed Cs2In4BiAu3 crystal at the PBE-GGA level of DFT.

The space group is P-4m2 (No. 115) and the conventional cell measures 5.2179, 5.2179 and 11.4463 Å, with angles of 90.00, 90.00 and 90.00 degrees. The asymmetric unit holds Cs at (0.0000, 0.5000, 0.2502), In at (0.0000, 0.0000, 0.0000), In at (0.0000, 0.5000, 0.6397), In at (0.5000, 0.5000, 0.0000), Bi at (0.0000, 0.0000, 0.5000), Au at (0.0000, 0.5000, 0.8893) and Au at (0.5000, 0.5000, 0.5000).

For the formation energy, the calculation gives -0.230 eV per atom. For the total energy, the calculation gives -2.87 eV per atom. For the calculated density, the calculation gives 8.13 Mg/m³.

Entry 13:
Computed, not measured: a relaxed Pm6TlPd2 crystal at the PBE-GGA level of DFT.

The space group is Immm (No. 71) and the conventional cell measures 9.6140, 10.1630 and 10.7634 Å, with angles of 90.00, 90.00 and 90.00 degrees. The asymmetric unit holds Pm at (0.0000, 0.1980, 0.2357), Pm at (0.1970, 0.5000, 0.1747), Pm at (0.2095, 0.3165, 0.5000), Tl at (0.0000, 0.0000, 0.0000), Tl at (0.0000, 0.0000, 0.5000), Pd at (0.0000, 0.3502, 0.0000) and Pd at (0.0000, 0.5000, 0.3709).

For the formation energy, the calculation gives -0.453 eV per atom. For the total energy, the calculation gives -5.04 eV per atom. For the calculated density, the calculation gives 8.13 Mg/m³.

Entry 14:
Computed, not measured: a relaxed Pr3RuCl3 crystal at the PBE-GGA level of DFT.

The space group is P2_1/m (No. 11) and the conventional cell measures 8.8592, 4.2093 and 12.0006 Å, with angles of 90.00, 92.05 and 90.00 degrees. The asymmetric unit holds Pr at (0.1096, 0.2500, 0.3801), Pr at (0.1251, 0.2500, 0.8433), Pr at (0.3254, 0.7500, 0.6180), Ru at (0.1095, 0.2500, 0.6205), Cl at (0.0968, 0.2500, 0.1112), Cl at (0.3455, 0.7500, 0.8650) and Cl at (0.4018, 0.7500, 0.3770).

Its raw formation energy is -1.43 eV/atom. For the total energy, the calculation gives -5.59 eV per atom. For the calculated density, the calculation gives 4.68 Mg/m³. Its energy above the most stable polymorph in this dataset is 0 meV/atom.